(1)
Below is crystalline Ti3AlTe at its relaxed geometry, with properties calculated at the PBEsol level.

Computed properties:
V: 102.1 Å³ per cell
uncorrected formation energy: 0.563 eV/atom
space-group type: Pm-3m

Cell lengths 4.6738, 4.6738, 4.6738 Å; angles 90.00, 90.00, 90.00 degrees
Closest atoms and distances in Å follow each position.
Positions (direct):
Te 0.5000 0.5000 0.5000  12 Ti 3.30
Ti 0.0000 0.5000 0.0000  2 Al 2.34
Ti 0.0000 0.0000 0.5000  2 Al 2.34
Ti 0.5000 0.0000 0.0000  2 Al 2.34
Al 0.0000 0.0000 0.0000  6 Ti 2.34


(2)
Below is crystalline AlTl2Te at its relaxed geometry, with properties calculated at the PBEsol level.

Computed properties:
V: 108.9 Å³ per cell
offset from the most stable computed form: 0.008 eV/atom
uncorrected formation energy: 0.057 eV/atom
space-group type: P4/mmm

Cell lengths 4.6142, 4.6142, 5.1128 Å; angles 90.00, 90.00, 90.00 degrees
Closest atoms and distances in Å follow each position.
Positions (direct):
Al 0.5000 0.5000 0.5000  4 Te 3.26, 8 Tl 3.44
Tl 0.5000 0.0000 0.0000  4 Tl 3.26, 4 Te 3.44, 4 Al 3.44
Tl 0.0000 0.5000 0.0000  4 Tl 3.26, 4 Te 3.44, 4 Al 3.44
Te 0.0000 0.0000 0.5000  4 Al 3.26, 8 Tl 3.44


(3)
Below is crystalline AlTl2Te at its relaxed geometry, with properties calculated at the PBEsol level.

Computed properties:
V: 109.1 Å³ per cell
offset from the most stable computed form: 0.027 eV/atom
uncorrected formation energy: 0.076 eV/atom
space-group type: I-4m2

Cell lengths 4.6222, 4.6222, 6.0615 Å; angles 112.41, 112.41, 90.00 degrees
Closest atoms and distances in Å follow each position.
Positions (direct):
Tl 0.0000 0.0000 0.0000  4 Al 3.27, 4 Te 3.44, 4 Tl 3.44
Tl 0.7500 0.2500 0.5000  4 Te 3.27, 4 Al 3.44, 4 Tl 3.44
Al 0.5000 0.5000 0.0000  8 Tl 3.27-3.44, 4 Te 3.44
Te 0.2500 0.7500 0.5000  8 Tl 3.27-3.44, 4 Al 3.44


(4)
Below is crystalline AlTl2Te at its relaxed geometry, with properties calculated at the PBEsol level.

Computed properties:
V: 107.8 Å³ per cell
offset from the most stable computed form: 0.000 eV/atom
uncorrected formation energy: 0.049 eV/atom
space-group type: I4/mmm

Cell lengths 4.4843, 4.4843, 6.2267 Å; angles 111.11, 111.11, 90.00 degrees
Closest atoms and distances in Å follow each position.
Positions (direct):
Te 0.0000 0.0000 0.0000  4 Al 3.17, 8 Tl 3.49
Tl 0.7500 0.2500 0.5000  4 Tl 3.17, 4 Te 3.49, 4 Al 3.49
Tl 0.2500 0.7500 0.5000  4 Tl 3.17, 4 Al 3.49, 4 Te 3.49
Al 0.5000 0.5000 0.0000  4 Te 3.17, 8 Tl 3.49


(5)
Below is crystalline Al2TeW at its relaxed geometry, with properties calculated at the PBEsol level.

Computed properties:
V: 74.3 Å³ per cell
uncorrected formation energy: 0.313 eV/atom
space-group type: R-3m

Cell lengths 3.0012, 3.0012, 9.6775 Å; angles 81.08, 81.08, 60.00 degrees
Closest atoms and distances in Å follow each position.
Positions (direct):
Te 0.5000 0.5000 0.5000  6 Te 3.00, 6 Al 3.21
W 0.0000 0.0000 0.0000  6 Al 2.69, 6 W 3.00
Al 0.7389 0.7389 0.7834  3 W 2.69, 6 Al 3.00
Al 0.2611 0.2611 0.2166  3 W 2.69, 6 Al 3.00


(6)
Below is crystalline Al2TeW at its relaxed geometry, with properties calculated at the PBEsol level.

Computed properties:
V: 75.7 Å³ per cell
uncorrected formation energy: 0.286 eV/atom
space-group type: P4mm

Cell lengths 3.1396, 3.1396, 7.6768 Å; angles 90.00, 90.00, 90.00 degrees
Closest atoms and distances in Å follow each position.
Positions (direct):
Al 0.0000 0.0000 0.9771  4 W 2.74, 4 Al 2.83
Al 0.5000 0.5000 0.2051  8 Al 2.83-3.14
W 0.5000 0.5000 0.7670  4 Al 2.74, 4 Te 2.77
Te 0.0000 0.0000 0.5508  4 W 2.77